Entry 1:
Computed, not measured: an optimized crystal structure of Tb2YEr4 at the GGA-PBE level of DFT.

* energy of formation from the pure elements: 0.55 eV/f.u.
* calculated total energy: -66.8 eV/cell

Cell: 6.0037 8.3980 9.8164 Å, 85.00 72.40 69.10°
Space group P1 (No. 1)
Inequivalent atoms, fractional coordinates:
Tb  0.0000  0.0000  0.0000
Tb  0.0174  0.9297  0.3582
Tb  0.1996  0.5000  0.4999
Tb  0.3002  0.0703  0.6414
Y  0.1905  0.5691  0.1403
Y  0.8972  0.4312  0.8595
Er  0.3693  0.6463  0.7772
Er  0.4077  0.1450  0.2789
Er  0.4429  0.2116  0.9231
Er  0.5794  0.7884  0.0769
Er  0.6234  0.7127  0.4235
Er  0.7560  0.2871  0.5773
Er  0.7971  0.3538  0.2225
Er  0.8266  0.8548  0.7203


Entry 2:
Computed, not measured: an optimized crystal structure of Be2AsPb at the GGA-PBE level of DFT.

* ΔE to the lowest computed polymorph: 340 meV/atom
* energy of formation from the pure elements: 2.21 eV/f.u.
* calculated total energy: -13.6 eV/cell

Cell: 3.8269 3.5280 5.1444 Å, 90.00 100.76 90.00°
Space group P2/m (No. 10)
Inequivalent atoms, fractional coordinates:
Be  0.0000  0.0000  0.0000
Be  0.5000  0.5000  0.5000
As  0.0000  0.0000  0.5000
Pb  0.5000  0.5000  0.0000


Entry 3:
Computed, not measured: an optimized crystal structure of TbNdEr2 at the GGA-PBE level of DFT.

* ΔE to the lowest computed polymorph: 120 meV/atom
* energy of formation from the pure elements: 0.48 eV/f.u.
* calculated total energy: -72.2 eV/cell

Cell: 8.0328 8.0328 8.0328 Å, 90.00 90.00 90.00°
Space group Fm-3m (No. 225)
Inequivalent atoms, fractional coordinates:
Tb  0.0000  0.0000  0.0000
Nd  0.0000  0.0000  0.5000
Er  0.2500  0.2500  0.2500


Entry 4:
Computed, not measured: an optimized crystal structure of FeMo3P4 at the GGA-PBE level of DFT.

* energy of formation from the pure elements: -2.78 eV/f.u.
* calculated total energy: -130.7 eV/cell

Cell: 5.9507 6.0765 6.4257 Å, 90.87 106.28 90.21°
Space group P-1 (No. 2)
Inequivalent atoms, fractional coordinates:
Fe  0.0881  0.4912  0.3020
Mo  0.1637  0.1880  0.9791
Mo  0.3254  0.6771  0.0186
Mo  0.4077  0.9917  0.6985
P  0.0387  0.8550  0.7270
P  0.2230  0.8488  0.3310
P  0.2535  0.3743  0.6579
P  0.4427  0.3708  0.2770